1.
DFT (PBE) results for a relaxed structure of NdThCuRu.

ΔH_f (0 K)	-0.194	eV per atom
calculated total energy	-6.58	eV/atom

Cell: 5.033 5.033 5.033 Å, 60.00 60.00 60.00°
Fractional coordinates of all 4 atoms:
1 Nd 0.000 0.000 0.000
2 Th 0.500 0.500 0.500
3 Cu 0.750 0.750 0.750
4 Ru 0.250 0.250 0.250

2.
DFT (PBE) results for a relaxed structure of LiTiOs3.

relative energy among the computed polymorphs	76.6	kJ per mole of atoms
ΔH_f (0 K)	1.677	eV per atom
calculated total energy	-7.02	eV/atom

Cell: 4.582 4.582 4.582 Å, 90.00 90.00 90.00°
Fractional coordinates of all 5 atoms:
1 Li 0.000 0.000 0.000
2 Ti 0.500 0.500 0.500
3 Os 0.000 0.500 0.500
4 Os 0.500 0.000 0.500
5 Os 0.500 0.500 0.000

3.
DFT (PBE) results for a relaxed structure of InAgIr2.

ΔH_f (0 K)	0.289	eV per atom
calculated total energy	-5.54	eV/atom

Cell: 5.546 5.546 2.860 Å, 104.20 104.20 119.44°
Fractional coordinates of all 4 atoms:
1 In 0.000 0.000 0.000
2 Ag 0.500 0.500 0.000
3 Ir 0.000 0.500 0.500
4 Ir 0.500 0.000 0.500

4.
DFT (PBE) results for a relaxed structure of PdPb3F.

relative energy among the computed polymorphs	0.0	kJ per mole of atoms
calculated total energy	-3.97	eV/atom
formation energy without anion corrections	-1.64	eV/f.u.

Cell: 5.009 5.009 5.009 Å, 90.00 90.00 90.00°
Fractional coordinates of all 5 atoms:
1 Pd 0.000 0.000 0.000
2 Pb 0.000 0.500 0.500
3 Pb 0.500 0.000 0.500
4 Pb 0.500 0.500 0.000
5 F 0.500 0.500 0.500

5.
DFT (PBE) results for a relaxed structure of CsAs4F13.

calculated total energy	-4.70	eV/atom
formation energy without anion corrections	-40.83	eV/f.u.

Cell: 7.702 7.702 7.702 Å, 101.29 101.29 127.49°
Fractional coordinates of all 18 atoms:
1 Cs 0.000 0.000 0.000
2 As 0.174 0.500 0.712
3 As 0.500 0.212 0.674
4 As 0.538 0.826 0.326
5 As 0.788 0.462 0.288
6 F 0.038 0.400 0.875
7 F 0.158 0.725 0.730
8 F 0.275 0.005 0.433
9 F 0.285 0.197 0.752
10 F 0.445 0.532 0.248
11 F 0.468 0.715 0.912
12 F 0.525 0.164 0.125
13 F 0.572 0.842 0.567
14 F 0.600 0.475 0.638
15 F 0.750 0.250 0.500
16 F 0.803 0.555 0.088
17 F 0.836 0.962 0.362
18 F 0.995 0.428 0.270

6.
DFT (PBE) results for a relaxed structure of Be2FeHg.

ΔH_f (0 K)	0.307	eV per atom
calculated total energy	-3.75	eV/atom

Cell: 3.735 5.004 5.004 Å, 31.74 90.00 90.00°
Fractional coordinates of all 4 atoms:
1 Be 0.000 0.000 0.000
2 Be 0.500 0.125 0.125
3 Fe 0.000 0.698 0.698
4 Hg 0.500 0.380 0.380

7.
DFT (PBE) results for a relaxed structure of Sc8Ir2Os.

ΔH_f (0 K)	-0.566	eV per atom
calculated total energy	-7.80	eV/atom

Cell: 8.286 8.286 6.431 Å, 108.19 108.19 32.36°
Fractional coordinates of all 11 atoms:
1 Sc 0.028 0.028 0.291
2 Sc 0.198 0.198 0.795
3 Sc 0.335 0.335 0.545
4 Sc 0.401 0.401 0.051
5 Sc 0.599 0.599 0.949
6 Sc 0.665 0.665 0.455
7 Sc 0.802 0.802 0.205
8 Sc 0.972 0.972 0.709
9 Ir 0.183 0.183 0.191
10 Ir 0.817 0.817 0.809
11 Os 0.500 0.500 0.500

8.
DFT (PBE) results for a relaxed structure of YNi2GeC.

ΔH_f (0 K)	1.751	eV per atom
calculated total energy	-4.62	eV/atom

Cell: 4.836 4.836 4.358 Å, 90.00 90.00 90.00°
Fractional coordinates of all 5 atoms:
1 Y 0.000 0.000 0.000
2 Ni 0.000 0.500 0.000
3 Ni 0.500 0.000 0.000
4 Ge 0.500 0.500 0.500
5 C 0.000 0.000 0.500

9.
DFT (PBE) results for a relaxed structure of S5BrO.

calculated total energy	-3.72	eV/atom
formation energy without anion corrections	1.26	eV/f.u.

Cell: 8.800 8.800 6.893 Å, 111.90 111.90 105.73°
Fractional coordinates of all 14 atoms:
1 S 0.026 0.749 0.071
2 S 0.124 0.660 0.852
3 S 0.142 0.858 0.750
4 S 0.251 0.974 0.429
5 S 0.340 0.876 0.648
6 S 0.660 0.124 0.352
7 S 0.749 0.026 0.571
8 S 0.858 0.142 0.250
9 S 0.876 0.340 0.148
10 S 0.974 0.251 0.929
11 Br 0.500 0.500 0.000
12 Br 0.500 0.500 0.500
13 O 0.431 0.569 0.750
14 O 0.569 0.431 0.250

10.
DFT (PBE) results for a relaxed structure of RePtSe.

relative energy among the computed polymorphs	0.3	kJ per mole of atoms
calculated total energy	-7.12	eV/atom
formation energy without anion corrections	0.61	eV/f.u.

Cell: 2.963 2.963 6.546 Å, 90.00 90.00 120.00°
Fractional coordinates of all 3 atoms:
1 Re 0.000 0.000 0.000
2 Pt 0.333 0.667 0.667
3 Se 0.667 0.333 0.278

11.
DFT (PBE) results for a relaxed structure of PrZrAlIr2.

ΔH_f (0 K)	-0.812	eV per atom
calculated total energy	-7.77	eV/atom

Cell: 6.609 6.609 6.609 Å, 142.93 142.93 53.44°
Fractional coordinates of all 5 atoms:
1 Pr 0.000 0.000 0.000
2 Zr 0.250 0.750 0.500
3 Al 0.750 0.250 0.500
4 Ir 0.388 0.388 0.000
5 Ir 0.612 0.612 0.000

12.
DFT (PBE) results for a relaxed structure of HgPO2F.

calculated total energy	-4.26	eV/atom
formation energy without anion corrections	-3.79	eV/f.u.

Cell: 3.453 3.453 6.480 Å, 90.00 90.00 90.00°
Fractional coordinates of all 5 atoms:
1 Hg 0.000 0.000 0.000
2 P 0.500 0.500 0.500
3 O 0.000 0.500 0.500
4 O 0.500 0.000 0.500
5 F 0.500 0.500 0.000

13.
DFT (PBE) results for a relaxed structure of Tc3PbN.

relative energy among the computed polymorphs	311.3	kJ per mole of atoms
calculated total energy	-5.10	eV/atom
formation energy without anion corrections	17.65	eV/f.u.

Cell: 5.264 5.264 5.264 Å, 90.00 90.00 90.00°
Fractional coordinates of all 5 atoms:
1 Tc 0.000 0.000 0.500
2 Tc 0.000 0.500 0.000
3 Tc 0.500 0.000 0.000
4 Pb 0.000 0.000 0.000
5 N 0.500 0.500 0.500

14.
DFT (PBE) results for a relaxed structure of Sr2CaSn5.

ΔH_f (0 K)	-0.553	eV per atom
calculated total energy	-3.73	eV/atom

Cell: 6.809 6.809 10.815 Å, 90.00 90.00 77.53°
Fractional coordinates of all 16 atoms:
1 Sr 0.204 0.204 0.000
2 Sr 0.204 0.204 0.500
3 Sr 0.796 0.796 0.000
4 Sr 0.796 0.796 0.500
5 Ca 0.357 0.643 0.750
6 Ca 0.643 0.357 0.250
7 Sn 0.034 0.966 0.250
8 Sn 0.084 0.510 0.250
9 Sn 0.315 0.685 0.049
10 Sn 0.315 0.685 0.451
11 Sn 0.490 0.916 0.250
12 Sn 0.510 0.084 0.750
13 Sn 0.685 0.315 0.549
14 Sn 0.685 0.315 0.951
15 Sn 0.916 0.490 0.750
16 Sn 0.966 0.034 0.750

15.
DFT (PBE) results for a relaxed structure of La3Tm3Hg2.

ΔH_f (0 K)	-0.189	eV per atom
calculated total energy	-3.79	eV/atom

Cell: 6.486 6.486 16.215 Å, 90.00 90.00 132.77°
Fractional coordinates of all 16 atoms:
1 La 0.041 0.959 0.607
2 La 0.041 0.959 0.893
3 La 0.291 0.709 0.750
4 La 0.709 0.291 0.250
5 La 0.959 0.041 0.107
6 La 0.959 0.041 0.393
7 Tm 0.359 0.641 0.537
8 Tm 0.359 0.641 0.963
9 Tm 0.422 0.578 0.250
10 Tm 0.578 0.422 0.750
11 Tm 0.641 0.359 0.037
12 Tm 0.641 0.359 0.463
13 Hg 0.236 0.764 0.121
14 Hg 0.236 0.764 0.379
15 Hg 0.764 0.236 0.621
16 Hg 0.764 0.236 0.879

16.
DFT (PBE) results for a relaxed structure of CuSi2P.

calculated total energy	-4.61	eV/atom
formation energy without anion corrections	1.89	eV/f.u.

Cell: 4.513 4.513 4.513 Å, 127.34 127.34 77.70°
Fractional coordinates of all 4 atoms:
1 Cu 0.000 0.000 0.000
2 Si 0.500 0.500 0.000
3 Si 0.750 0.250 0.500
4 P 0.250 0.750 0.500

17.
DFT (PBE) results for a relaxed structure of YSe4Br.

calculated total energy	-4.01	eV/atom
formation energy without anion corrections	-1.97	eV/f.u.

Cell: 5.768 5.768 5.768 Å, 60.00 60.00 60.00°
Fractional coordinates of all 6 atoms:
1 Y 0.000 0.000 0.000
2 Se 0.374 0.374 0.374
3 Se 0.374 0.374 0.877
4 Se 0.374 0.877 0.374
5 Se 0.877 0.374 0.374
6 Br 0.750 0.750 0.750

18.
DFT (PBE) results for a relaxed structure of PrHo2Te.

relative energy among the computed polymorphs	10.9	kJ per mole of atoms
calculated total energy	-4.81	eV/atom
formation energy without anion corrections	-2.18	eV/f.u.

Cell: 3.858 3.858 8.087 Å, 90.00 90.00 90.00°
Fractional coordinates of all 4 atoms:
1 Pr 0.000 0.000 0.000
2 Ho 0.500 0.500 0.282
3 Ho 0.500 0.500 0.718
4 Te 0.000 0.000 0.500

19.
DFT (PBE) results for a relaxed structure of SiAsC2.

relative energy among the computed polymorphs	0.0	kJ per mole of atoms
calculated total energy	-6.58	eV/atom
formation energy without anion corrections	2.21	eV/f.u.

Cell: 3.131 3.131 5.356 Å, 90.00 90.00 120.00°
Fractional coordinates of all 4 atoms:
1 Si 0.000 0.000 0.000
2 As 0.667 0.333 0.596
3 C 0.333 0.667 0.134
4 C 0.333 0.667 0.417

20.
DFT (PBE) results for a relaxed structure of Tb3NdSm12.

ΔH_f (0 K)	0.015	eV per atom
calculated total energy	-4.69	eV/atom

Cell: 5.115 5.115 20.450 Å, 90.00 90.00 90.00°
Fractional coordinates of all 16 atoms:
1 Tb 0.000 0.000 0.000
2 Tb 0.000 0.000 0.249
3 Tb 0.000 0.000 0.751
4 Nd 0.000 0.000 0.500
5 Sm 0.000 0.500 0.125
6 Sm 0.000 0.500 0.374
7 Sm 0.000 0.500 0.626
8 Sm 0.000 0.500 0.875
9 Sm 0.500 0.000 0.125
10 Sm 0.500 0.000 0.374
11 Sm 0.500 0.000 0.626
12 Sm 0.500 0.000 0.875
13 Sm 0.500 0.500 0.000
14 Sm 0.500 0.500 0.249
15 Sm 0.500 0.500 0.500
16 Sm 0.500 0.500 0.751